# CsCuNiW, optimized geometry, DFT GGA-PBE
# - Calculated volume: 20.2 Å³/atom
# - Polymorph energy (0 for the lowest one): 2.8 kJ per mole of atoms
# - Total energy: -3.91 eV/atom
data_CsCuNiW
_chemical_formula_sum 'Cs4 Cu4 Ni4 W4'
_symmetry_space_group_name_H-M 'F -4 3 m'
_symmetry_Int_Tables_number 216
_symmetry_space_group_name_Hall 'F -4 2 3'
_cell_length_a 6.861
_cell_length_b 6.861
_cell_length_c 6.861
_cell_angle_alpha 90.00
_cell_angle_beta 90.00
_cell_angle_gamma 90.00
loop_
_atom_site_label
_atom_site_type_symbol
_atom_site_fract_x
_atom_site_fract_y
_atom_site_fract_z
Cs1 Cs 0.000 0.000 0.000
Cu1 Cu 0.250 0.250 0.750
Ni1 Ni 0.250 0.250 0.250
W1 W 0.000 0.000 0.500

=====

# CsCuNiW, optimized geometry, DFT GGA-PBE
# - Calculated volume: 17.6 Å³/atom
# - Polymorph energy (0 for the lowest one): 0.0 kJ per mole of atoms
# - Total energy: -3.94 eV/atom
data_CsCuNiW
_chemical_formula_sum 'Cs4 Cu4 Ni4 W4'
_symmetry_space_group_name_H-M 'F -4 3 m'
_symmetry_Int_Tables_number 216
_symmetry_space_group_name_Hall 'F -4 2 3'
_cell_length_a 6.555
_cell_length_b 6.555
_cell_length_c 6.555
_cell_angle_alpha 90.00
_cell_angle_beta 90.00
_cell_angle_gamma 90.00
loop_
_atom_site_label
_atom_site_type_symbol
_atom_site_fract_x
_atom_site_fract_y
_atom_site_fract_z
Cs1 Cs 0.000 0.000 0.000
Cu1 Cu 0.250 0.250 0.250
Ni1 Ni 0.000 0.000 0.500
W1 W 0.250 0.250 0.750

=====

# CsNpCuTe3, optimized geometry, DFT GGA-PBE
# - Calculated volume: 34.9 Å³/atom
# - Total energy: -5.20 eV/atom
data_CsNpCuTe3
_chemical_formula_sum 'Cs4 Np4 Cu4 Te12'
_symmetry_space_group_name_H-M 'C m c m'
_symmetry_Int_Tables_number 63
_symmetry_space_group_name_Hall '-C 2c 2'
_cell_length_a 4.365
_cell_length_b 16.842
_cell_length_c 11.387
_cell_angle_alpha 90.00
_cell_angle_beta 90.00
_cell_angle_gamma 90.00
loop_
_atom_site_label
_atom_site_type_symbol
_atom_site_fract_x
_atom_site_fract_y
_atom_site_fract_z
Cs1 Cs 0.000 0.243 0.250
Np1 Np 0.000 0.500 0.000
Cu1 Cu 0.000 0.034 0.750
Te1 Te 0.000 0.120 0.558
Te2 Te 0.000 0.443 0.750

=====

# CsCuOsS3, optimized geometry, DFT GGA-PBE
# - Calculated volume: 22.3 Å³/atom
# - Total energy: -5.05 eV/atom
data_CsCuOsS3
_chemical_formula_sum 'Cs4 Cu4 Os4 S12'
_symmetry_space_group_name_H-M 'C m c m'
_symmetry_Int_Tables_number 63
_symmetry_space_group_name_Hall '-C 2c 2'
_cell_length_a 3.737
_cell_length_b 15.361
_cell_length_c 9.338
_cell_angle_alpha 90.00
_cell_angle_beta 90.00
_cell_angle_gamma 90.00
loop_
_atom_site_label
_atom_site_type_symbol
_atom_site_fract_x
_atom_site_fract_y
_atom_site_fract_z
Cs1 Cs 0.000 0.245 0.250
Cu1 Cu 0.000 0.474 0.750
Os1 Os 0.000 0.000 0.000
S1 S 0.000 0.062 0.750
S2 S 0.000 0.403 0.542

=====

# CsCuOsSeS2, optimized geometry, DFT GGA-PBE
# - Calculated volume: 23.7 Å³/atom
# - Total energy: -4.93 eV/atom
data_CsCuOsSeS2
_chemical_formula_sum 'Cs4 Cu4 Os4 Se4 S8'
_symmetry_space_group_name_H-M 'C m c m'
_symmetry_Int_Tables_number 63
_symmetry_space_group_name_Hall '-C 2c 2'
_cell_length_a 3.748
_cell_length_b 15.857
_cell_length_c 9.559
_cell_angle_alpha 90.00
_cell_angle_beta 90.00
_cell_angle_gamma 90.00
loop_
_atom_site_label
_atom_site_type_symbol
_atom_site_fract_x
_atom_site_fract_y
_atom_site_fract_z
Cs1 Cs 0.000 0.232 0.250
Cu1 Cu 0.000 0.473 0.750
Os1 Os 0.000 0.000 0.000
Se1 Se 0.000 0.071 0.750
S1 S 0.000 0.407 0.545

=====

# CsCuTe2OsS, optimized geometry, DFT GGA-PBE
# - Calculated volume: 27.0 Å³/atom
# - Total energy: -4.54 eV/atom
data_CsCuTe2OsS
_chemical_formula_sum 'Cs4 Cu4 Te8 Os4 S4'
_symmetry_space_group_name_H-M 'C m c m'
_symmetry_Int_Tables_number 63
_symmetry_space_group_name_Hall '-C 2c 2'
_cell_length_a 4.186
_cell_length_b 17.496
_cell_length_c 8.857
_cell_angle_alpha 90.00
_cell_angle_beta 90.00
_cell_angle_gamma 90.00
loop_
_atom_site_label
_atom_site_type_symbol
_atom_site_fract_x
_atom_site_fract_y
_atom_site_fract_z
Cs1 Cs 0.000 0.242 0.250
Cu1 Cu 0.000 0.028 0.250
Te1 Te 0.000 0.094 0.571
Os1 Os 0.000 0.500 0.000
S1 S 0.000 0.428 0.750

=====

# CsCuTeOsS2, optimized geometry, DFT GGA-PBE
# - Calculated volume: 25.4 Å³/atom
# - Total energy: -4.83 eV/atom
data_CsCuTeOsS2
_chemical_formula_sum 'Cs4 Cu4 Te4 Os4 S8'
_symmetry_space_group_name_H-M 'C m c m'
_symmetry_Int_Tables_number 63
_symmetry_space_group_name_Hall '-C 2c 2'
_cell_length_a 3.738
_cell_length_b 16.744
_cell_length_c 9.745
_cell_angle_alpha 90.00
_cell_angle_beta 90.00
_cell_angle_gamma 90.00
loop_
_atom_site_label
_atom_site_type_symbol
_atom_site_fract_x
_atom_site_fract_y
_atom_site_fract_z
Cs1 Cs 0.000 0.217 0.250
Cu1 Cu 0.000 0.470 0.750
Te1 Te 0.000 0.079 0.750
Os1 Os 0.000 0.000 0.000
S1 S 0.000 0.412 0.546

=====

# CsCu3OsSe4, optimized geometry, DFT GGA-PBE
# - Calculated volume: 28.0 Å³/atom
# - Total energy: -4.13 eV/atom
data_CsCu3OsSe4
_chemical_formula_sum 'Cs1 Cu3 Os1 Se4'
_symmetry_space_group_name_H-M 'P -4 3 m'
_symmetry_Int_Tables_number 215
_symmetry_space_group_name_Hall 'P -4 2 3'
_cell_length_a 6.319
_cell_length_b 6.319
_cell_length_c 6.319
_cell_angle_alpha 90.00
_cell_angle_beta 90.00
_cell_angle_gamma 90.00
loop_
_atom_site_label
_atom_site_type_symbol
_atom_site_fract_x
_atom_site_fract_y
_atom_site_fract_z
Cs1 Cs 0.000 0.000 0.000
Cu1 Cu 0.000 0.500 0.500
Os1 Os 0.500 0.500 0.500
Se1 Se 0.286 0.286 0.286